(1)
A plane-wave DFT calculation with PBEsol was carried out for a geometry-optimized Be2BO4 structure.

abc: 4.449 9.553 12.493
angles: 90.00 90.00 90.00
Space group Pbca (No. 61)
One atom of each set of equivalent atoms:
Be  0.228  0.238  0.067 (multiplicity 8)
Be  0.243  0.004  0.192 (multiplicity 8)
B  0.233  0.111  0.388 (multiplicity 8)
O  0.076  0.605  0.108 (multiplicity 8)
O  0.114  0.540  0.311 (multiplicity 8)
O  0.114  0.692  0.462 (multiplicity 8)
O  0.194  0.156  0.665 (multiplicity 8)

Results
As for the uncorrected formation energy: -2.2715 eV/atom.



(2)
A plane-wave DFT calculation with PBEsol was carried out for a geometry-optimized BeB2O structure.

abc: 5.008 5.008 5.008
angles: 90.00 90.00 90.00
Space group Fm-3m (No. 225)
One atom of each set of equivalent atoms:
Be  0.000  0.000  0.000 (multiplicity 4)
B  0.250  0.250  0.250 (multiplicity 8)
O  0.000  0.000  0.500 (multiplicity 4)

Results
As for the uncorrected formation energy: 1.7120 eV/atom.



(3)
A plane-wave DFT calculation with PBEsol was carried out for a geometry-optimized BeBP2O structure.

abc: 4.782 4.782 2.641
angles: 90.00 90.00 90.00
Space group P4/mmm (No. 123)
One atom of each set of equivalent atoms:
Be  0.000  0.000  0.000 (multiplicity 1)
B  0.500  0.500  0.500 (multiplicity 1)
P  0.000  0.500  0.500 (multiplicity 2)
O  0.500  0.500  0.000 (multiplicity 1)

Results
As for the uncorrected formation energy: 0.2145 eV/atom.



(4)
A plane-wave DFT calculation with PBEsol was carried out for a geometry-optimized BeBSb2O structure.

abc: 5.286 5.286 3.014
angles: 90.00 90.00 90.00
Space group P4/mmm (No. 123)
One atom of each set of equivalent atoms:
Be  0.000  0.000  0.000 (multiplicity 1)
B  0.500  0.500  0.000 (multiplicity 1)
Sb  0.000  0.500  0.500 (multiplicity 2)
O  0.000  0.000  0.500 (multiplicity 1)

Results
As for the uncorrected formation energy: 0.3478 eV/atom.



Number 1: total energy -415.31 eV for the cell shown. Number 2: total energy -65.74 eV for the cell shown. Number 3: total energy -26.78 eV for the cell shown. Number 4: total energy -23.64 eV for the cell shown.